Material: K2SrYF6
Method: DFT, PBE
State: relaxed

Cell: 6.4193 6.4258 6.7779 Å, 90.03 118.26 119.96°
With the nearest neighbours (Å) after each atom.
Space group P-1 (No. 2)
One atom of each set of equivalent atoms:
K (0.0493, 0.2747, 0.3236) [2 per cell]  6 F 2.79-2.87
Sr (0.5000, 0.5000, 0.0000) [1 per cell]  6 F 2.52
Y (0.5000, 0.0000, 0.5000) [1 per cell]  6 F 2.24
F (0.0262, 0.8176, 0.3042) [2 per cell]  1 Y 2.24
F (0.4049, 0.7223, 0.6960) [2 per cell]  1 Y 2.24
F (0.4869, 0.7089, 0.3042) [2 per cell]  1 Y 2.24

Values from the calculation:
Crystal system = triclinic
Spin magnetization = 0.00 μB per cell
DFT total energy = -5.45 eV per atom

Material: Ce6PaGa3
Method: DFT, PBE
State: relaxed

Cell: 11.4742 11.4742 12.8146 Å, 90.00 90.00 120.00°
With the nearest neighbours (Å) after each atom.
Space group R-3 (No. 148, hexagonal axes)
One atom of each set of equivalent atoms:
Ce (0.0560, 0.2368, 0.4023) [18 per cell]  1 Pa 2.76, 2 Ce 2.88-2.98, 2 Ga 3.09
Ce (0.0598, 0.8700, 0.7988) [18 per cell]  2 Ce 2.88-3.09, 2 Ga 3.18-3.21, 1 Pa 3.22
Pa (0.0000, 0.0000, 0.0000) [3 per cell]  6 Ga 3.09, 6 Ce 3.22
Pa (0.0000, 0.0000, 0.5000) [3 per cell]  6 Ce 2.76
Ga (0.0393, 0.5905, 0.7143) [18 per cell]  8 Ce 3.09-3.40, 1 Pa 3.09, 2 Ga 3.27

Values from the calculation:
Crystal system = trigonal
Spin magnetization = 13.23 μB per cell
E_form = -0.120 eV per atom

Material: LiBeF2
Method: DFT, PBE
State: relaxed

Cell: 5.2648 5.2648 7.5162 Å, 90.00 90.00 90.00°
With the nearest neighbours (Å) after each atom.
Space group I-42d (No. 122)
One atom of each set of equivalent atoms:
Li (0.0000, 0.0000, 0.0000) [4 per cell]  12 F 3.08-3.11, 4 Li 3.23, 4 Be 3.23
Be (0.0000, 0.0000, 0.5000) [4 per cell]  4 F 1.62
F (0.0020, 0.7500, 0.6250) [8 per cell]  2 Be 1.62

Values from the calculation:
Crystal system = tetragonal
Spin magnetization = 0.00 μB per cell
Relative energy among the computed polymorphs = 133 meV/atom